Record 1
Mg3Cu2Ag, relaxed, DFT PBE-GGA; uncorrected energy = -2.7661 eV/atom; energy of formation from the pure elements = -128 meV/atom
1.0
3.108 0.000 0.000
0.000 3.108 0.000
0.000 0.000 10.385
Cu Mg Ag
2 3 1
direct
0.500 0.500 0.844 Cu
0.500 0.500 0.156 Cu
0.000 0.000 0.000 Mg
0.000 0.000 0.686 Mg
0.000 0.000 0.314 Mg
0.500 0.500 0.500 Ag

Record 2
Mg4Cu3Ag, relaxed, DFT PBE-GGA; uncorrected energy = -2.8137 eV/atom; energy of formation from the pure elements = -124 meV/atom
1.0
-1.539 4.214 0.248
-4.393 -1.334 -4.590
-5.855 -2.511 6.335
Cu Mg Ag
6 8 2
direct
0.500 0.000 0.750 Cu
0.500 0.500 0.750 Cu
0.500 0.500 0.250 Cu
0.000 0.000 0.000 Cu
0.000 0.000 0.500 Cu
0.500 0.000 0.250 Cu
0.000 0.242 0.250 Mg
0.500 0.242 0.000 Mg
0.500 0.242 0.500 Mg
0.000 0.758 0.750 Mg
0.500 0.758 0.500 Mg
0.000 0.242 0.750 Mg
0.000 0.758 0.250 Mg
0.500 0.758 0.000 Mg
0.000 0.500 0.500 Ag
0.000 0.500 0.000 Ag

Record 3
MgCuAg2, relaxed, DFT PBE-GGA; uncorrected energy = -2.8902 eV/atom; energy of formation from the pure elements = -42 meV/atom
1.0
-0.050 -4.335 -2.531
1.917 -2.438 -3.948
3.627 -2.432 1.776
Ag Cu Mg
2 1 1
direct
0.999 0.999 0.009 Ag
0.759 0.759 0.730 Ag
0.499 0.499 0.511 Cu
0.243 0.243 0.250 Mg

Record 4
Mg2Cu2Ag, relaxed, DFT PBE-GGA; uncorrected energy = -2.9178 eV/atom; energy of formation from the pure elements = -71 meV/atom
1.0
-1.304 3.056 -6.050
-6.332 1.650 2.198
1.229 3.030 1.265
Mg Cu Ag
4 4 2
direct
0.671 0.829 0.500 Mg
0.829 0.329 0.500 Mg
0.329 0.171 0.500 Mg
0.171 0.671 0.500 Mg
0.875 0.625 0.000 Cu
0.375 0.875 0.000 Cu
0.125 0.375 0.000 Cu
0.625 0.125 0.000 Cu
0.500 0.500 0.000 Ag
0.000 0.000 0.000 Ag

Record 5
MgCuAg2, relaxed, DFT PBE-GGA; uncorrected energy = -2.9285 eV/atom; energy of formation from the pure elements = -80 meV/atom
1.0
-4.625 1.404 1.229
-2.123 -3.418 2.946
4.392 2.353 0.207
Ag Mg Cu
2 1 1
direct
0.000 0.000 0.000 Ag
0.250 0.750 0.500 Ag
0.750 0.250 0.500 Mg
0.500 0.500 0.000 Cu

Record 6
Mg2Cu2Ag, relaxed, DFT PBE-GGA; uncorrected energy = -2.6286 eV/atom; energy of formation from the pure elements = 218 meV/atom
1.0
-3.296 1.567 -1.540
-2.054 -3.182 1.158
-3.801 1.739 4.812
Mg Ag Cu
2 1 2
direct
0.750 0.250 0.500 Mg
0.250 0.750 0.500 Mg
0.000 0.000 0.000 Ag
0.600 0.600 0.800 Cu
0.400 0.400 0.200 Cu

Record 7
Mg2CuAg, relaxed, DFT PBE-GGA; uncorrected energy = -2.6583 eV/atom; energy of formation from the pure elements = -124 meV/atom
1.0
5.266 -0.012 -0.009
4.316 3.016 -0.009
1.532 0.480 4.363
Cu Mg Ag
1 2 1
direct
0.758 0.758 0.776 Cu
0.020 0.020 0.954 Mg
0.239 0.239 0.284 Mg
0.483 0.483 0.486 Ag

Record 8
MgCu2Ag, relaxed, DFT PBE-GGA; uncorrected energy = -3.1978 eV/atom; energy of formation from the pure elements = -38 meV/atom
1.0
-2.150 2.515 -2.205
-2.501 0.538 3.052
2.123 2.894 1.230
Cu Mg Ag
2 1 1
direct
0.000 0.000 0.000 Cu
0.500 0.500 0.000 Cu
0.500 0.000 0.500 Mg
0.000 0.500 0.500 Ag